DFT (PBE) results for crystalline KVPd2Rh at its relaxed geometry.

Computed properties:
The space group is P4/mmm (123). Its formation energy is 6.469 eV per formula unit. For the volume, the calculation gives 112.2 Å³/cell.

a b c (Å): 4.625 4.625 5.246
angles (deg): 90.00 90.00 90.00
Fractional coordinates of all 5 atoms:
K 0.000 0.000 0.000
V 0.000 0.000 0.500
Pd 0.000 0.500 0.500
Pd 0.500 0.000 0.500
Rh 0.500 0.500 0.000